Computed, not measured: a geometry-optimized Ho3Si6Pd2Au structure at the PBE level of DFT.

Summary:
The space group is P-3m1, No. 164. The value obtained for the formation energy (no corrections) is -413 meV/atom.

abc: 5.607 5.607 8.260
angles: 90.00 90.00 120.00
Sites, in units of the cell vectors:
1 Ho 0.000 0.000 0.000
2 Ho 0.667 0.333 0.405
3 Ho 0.333 0.667 0.595
4 Au 0.000 0.000 0.500
5 Si 0.625 0.812 0.269
6 Si 0.188 0.375 0.269
7 Si 0.375 0.188 0.731
8 Si 0.812 0.188 0.731
9 Si 0.812 0.625 0.731
10 Si 0.188 0.812 0.269
11 Pd 0.667 0.333 0.983
12 Pd 0.333 0.667 0.017